Entry 1:
The following is a PBE calculation of a relaxed structure of CsTl3Pd, from the Alexandria database. Values from VASP.

Quantum ESPRESSO input file:
```
&SYSTEM
  ibrav = 0, nat = 5, ntyp = 3
/
ATOMIC_SPECIES
Tl 204.38 Tl.upf
Cs 132.91 Cs.upf
Pd 106.42 Pd.upf
CELL_PARAMETERS angstrom
6.472 0.000 0.000
0.000 6.472 0.000
0.000 0.000 6.472
ATOMIC_POSITIONS crystal
Tl 0.000 0.500 0.000
Tl 0.500 0.000 0.000
Cs 0.000 0.000 0.000
Pd 0.500 0.500 0.500
Tl 0.000 0.000 0.500
```

Formation energy, eV per atom: 1.1921
Theoretical density, g cm⁻³: 5.2



Entry 2:
The following is a PBE calculation of a relaxed structure of Pr4Zn3Ag2, from the Alexandria database. Values from VASP.

Quantum ESPRESSO input file:
```
&SYSTEM
  ibrav = 0, nat = 9, ntyp = 3
/
ATOMIC_SPECIES
Zn 65.41 Zn.upf
Pr 140.91 Pr.upf
Ag 107.87 Ag.upf
CELL_PARAMETERS angstrom
5.096 0.001 0.001
2.547 4.411 0.166
-0.002 -0.380 10.077
ATOMIC_POSITIONS crystal
Zn 0.000 0.000 0.000
Pr 0.000 0.000 0.341
Pr 0.667 0.667 0.888
Ag 0.334 0.333 0.795
Pr 0.333 0.333 0.112
Pr 0.000 0.000 0.659
Zn 0.333 0.333 0.506
Zn 0.667 0.667 0.494
Ag 0.666 0.667 0.205
```

Formation energy, eV per atom: -0.2030
Theoretical density, g cm⁻³: 7.1



Entry 3:
The following is a PBE calculation of a relaxed structure of TaBe2W, from the Alexandria database. Values from VASP.

Quantum ESPRESSO input file:
```
&SYSTEM
  ibrav = 0, nat = 8, ntyp = 3
/
ATOMIC_SPECIES
W 183.84 W.upf
Ta 180.95 Ta.upf
Be 9.01 Be.upf
CELL_PARAMETERS angstrom
6.415 0.000 0.000
0.000 6.415 0.000
3.207 3.207 2.636
ATOMIC_POSITIONS crystal
W 0.000 0.000 0.000
Ta 0.500 0.500 0.000
Be 0.115 0.625 0.250
Be 0.375 0.365 0.750
Be 0.875 0.885 0.750
Be 0.635 0.125 0.250
W 0.750 0.250 0.500
Ta 0.250 0.750 0.500
```

Formation energy, eV per atom: 0.4739
Theoretical density, g cm⁻³: 11.7